w:
The following is a PBE calculation of Ce5Al2Ge5 after structural relaxation, from Alexandria.

POSCAR file:
```
Ce5Al2Ge5
1.0
-1.2724 -2.6461 2.9725
-3.5331 -1.8804 -6.1226
10.7053 -3.5554 1.4176
Ce Al Ge
5 2 5
Direct
0.5000 0.0000 0.5000
0.6604 0.3207 0.0279
0.6795 0.3589 0.2933
0.3205 0.6411 0.7067
0.3396 0.6793 0.9721
0.0683 0.1366 0.7790
0.9317 0.8634 0.2210
0.1178 0.2357 0.4328
0.6878 0.3756 0.7805
0.3122 0.6244 0.2195
0.8822 0.7643 0.5672
0.0000 0.0000 0.0000
```

Properties
Mass density, g/cm³: 6.435
D(E_F), states/eV/cell: 18.83



x:
The following is a PBE calculation of Ce5Al2Ge5 after structural relaxation, from Alexandria.

POSCAR file:
```
Ce5Al2Ge5
1.0
-1.2551 -3.7371 -1.4001
6.4424 -4.4200 -0.2272
-2.7174 -4.2706 7.5849
Ce Al Ge
5 2 5
Direct
0.5000 0.5000 0.5000
0.4057 0.2806 0.9081
0.3234 0.0483 0.3049
0.6766 0.9517 0.6951
0.5943 0.7194 0.0919
0.8537 0.5275 0.7651
0.1463 0.4725 0.2349
0.9257 0.7684 0.3803
0.2402 0.6944 0.8253
0.7598 0.3056 0.1747
0.0744 0.2316 0.6197
0.0000 0.0000 0.0000
```

Properties
Mass density, g/cm³: 6.654
D(E_F), states/eV/cell: 23.48



Energies relative to the most stable structure are w 8.8; x 0.0, reported in kJ/mol of atoms.



w:
The following is a PBE calculation of Ce3Al2Ge3 after structural relaxation, from Alexandria.

POSCAR file:
```
Ce3Al2Ge3
1.0
4.4588 0.0000 0.0000
-2.2294 5.3696 0.0000
0.0000 0.0000 14.8984
Ce Al Ge
6 4 6
Direct
0.6606 0.3211 0.0286
0.3394 0.6789 0.5286
0.6606 0.3211 0.4714
0.3394 0.6789 0.9714
0.4385 0.8771 0.2500
0.5615 0.1229 0.7500
0.8405 0.6811 0.6639
0.1595 0.3189 0.1639
0.8405 0.6811 0.8361
0.1595 0.3189 0.3361
0.9496 0.8992 0.0859
0.0504 0.1008 0.5859
0.9496 0.8992 0.4141
0.0504 0.1008 0.9141
0.7249 0.4497 0.2500
0.2751 0.5503 0.7500
```

Properties
Mass density, g/cm³: 6.445
D(E_F), states/eV/cell: 30.19



x:
The following is a PBE calculation of Ce3Al2Ge3 after structural relaxation, from Alexandria.

POSCAR file:
```
Ce3Al2Ge3
1.0
-4.5036 -1.6006 -3.6888
-4.1297 -3.7310 6.6609
-1.4386 8.3535 -1.8684
Ce Al Ge
6 4 6
Direct
0.7500 0.3266 0.0000
0.7500 0.6734 0.6734
0.7500 0.0000 0.3266
0.2500 0.6734 0.0000
0.2500 0.3266 0.3266
0.2500 0.0000 0.6734
0.0000 0.3333 0.6667
0.5000 0.6667 0.3333
0.0000 0.6667 0.3333
0.5000 0.3333 0.6667
0.7500 0.6531 0.0000
0.7500 0.3469 0.3469
0.7500 0.0000 0.6531
0.2500 0.3469 0.0000
0.2500 0.6531 0.6531
0.2500 0.0000 0.3469
```

Properties
Mass density, g/cm³: 5.836
D(E_F), states/eV/cell: 28.81



Energies relative to the most stable structure are w 0.0; x 6.5, reported in kJ/mol of atoms.



w:
The following is a PBE calculation of CePmAlGe after structural relaxation, from Alexandria.

POSCAR file:
```
CePmAlGe
1.0
4.4529 0.0000 0.0000
0.0000 4.0902 0.0000
-2.2265 0.0000 5.6447
Ce Pm Al Ge
1 1 1 1
Direct
0.1417 0.0000 0.2834
0.8550 0.5000 0.7101
0.4290 0.0000 0.8581
0.5742 0.5000 0.1484
```

Properties
Mass density, g/cm³: 6.214
D(E_F), states/eV/cell: 6.53



x:
The following is a PBE calculation of CePmAlGe after structural relaxation, from Alexandria.

POSCAR file:
```
CePmAlGe
1.0
5.1979 0.0000 0.0000
2.5989 4.5015 0.0000
2.5989 1.5005 4.2440
Ge Al Ce Pm
1 1 1 1
Direct
0.2500 0.2500 0.2500
0.7500 0.7500 0.7500
0.5000 0.5000 0.5000
0.0000 0.0000 0.0000
```

Properties
Mass density, g/cm³: 6.434
D(E_F), states/eV/cell: 7.33



Energies relative to the most stable structure are w 0.0; x 17.1, reported in kJ/mol of atoms.



w:
The following is a PBE calculation of CeHfAl after structural relaxation, from Alexandria.

POSCAR file:
```
CeHfAl
1.0
3.0938 0.0000 0.0000
0.0000 3.0938 0.0000
-1.5469 -1.5469 6.9772
Hf Al Ce
1 1 1
Direct
0.6832 0.6832 0.3664
0.3245 0.3245 0.6490
0.9923 0.9923 0.9846
```

Properties
Mass density, g/cm³: 8.593
D(E_F), states/eV/cell: 5.76



x:
The following is a PBE calculation of CeHfAl after structural relaxation, from Alexandria.

POSCAR file:
```
CeHfAl
1.0
2.9897 0.0000 0.0000
0.0000 4.9935 0.0000
0.0000 -2.4968 4.3245
Hf Al Ce
1 1 1
Direct
0.1675 0.3333 0.6667
0.6662 0.6667 0.3333
0.1663 0.0000 0.0000
```

Properties
Mass density, g/cm³: 8.889
D(E_F), states/eV/cell: 4.90



y:
The following is a PBE calculation of CeHfAl after structural relaxation, from Alexandria.

POSCAR file:
```
CeHfAl
1.0
5.2116 0.0000 0.0000
0.0000 5.2116 0.0000
0.0000 0.0000 5.9220
Hf Al Ce
2 2 2
Direct
0.0000 0.5000 0.8561
0.5000 0.0000 0.1439
0.5000 0.5000 0.0000
0.0000 0.0000 0.0000
0.5000 0.0000 0.6627
0.0000 0.5000 0.3373
```

Properties
Mass density, g/cm³: 7.136
D(E_F), states/eV/cell: 13.71



Energies relative to the most stable structure are w 0.0; x 21.5; y 44.8, reported in kJ/mol of atoms.



w:
The following is a PBE calculation of CeAlHg after structural relaxation, from Alexandria.

POSCAR file:
```
CeAlHg
1.0
-4.3904 1.5453 -0.8346
-1.5879 -0.2334 7.9213
2.3744 7.1163 0.6857
Ce Hg Al
4 4 4
Direct
0.2500 0.2869 0.5021
0.7500 0.7131 0.4979
0.2500 0.2131 0.0021
0.7500 0.7869 0.9979
0.2500 0.5842 0.8013
0.7500 0.4158 0.1987
0.2500 0.9158 0.3013
0.7500 0.0842 0.6987
0.2500 0.5880 0.2041
0.7500 0.4120 0.7959
0.2500 0.9120 0.7041
0.7500 0.0880 0.2959
```

Properties
Mass density, g/cm³: 8.483
D(E_F), states/eV/cell: 21.95



x:
The following is a PBE calculation of CeAlHg after structural relaxation, from Alexandria.

POSCAR file:
```
CeAlHg
1.0
-2.3248 -2.9507 -1.7380
3.6167 -0.0751 -4.7104
3.6105 -2.5059 4.3536
Ce Al Hg
2 2 2
Direct
0.5000 0.0000 0.0000
0.5000 0.5000 0.0000
0.1872 0.8394 0.3743
0.8128 0.1606 0.6257
0.1784 0.3217 0.3568
0.8216 0.6783 0.6432
```

Properties
Mass density, g/cm³: 8.714
D(E_F), states/eV/cell: 10.72



y:
The following is a PBE calculation of CeAlHg after structural relaxation, from Alexandria.

POSCAR file:
```
CeAlHg
1.0
3.3143 0.0000 0.0000
0.0000 3.3143 0.0000
-1.6572 -1.6572 6.2879
Hg Ce Al
1 1 1
Direct
0.9667 0.9667 0.9334
0.2759 0.2759 0.5517
0.6074 0.6074 0.2149
```

Properties
Mass density, g/cm³: 8.839
D(E_F), states/eV/cell: 5.91



Energies relative to the most stable structure are w 0.0; x 17.0; y 16.4, reported in kJ/mol of atoms.



w:
The following is a PBE calculation of CeScAlHg after structural relaxation, from Alexandria.

POSCAR file:
```
CeScAlHg
1.0
3.2887 0.0000 0.0000
0.0000 3.2887 0.0000
0.0000 0.0000 8.3507
Ce Sc Al Hg
1 1 1 1
Direct
0.0000 0.0000 0.0839
0.0000 0.0000 0.5622
0.5000 0.5000 0.3418
0.5000 0.5000 0.7968
```

Properties
Mass density, g/cm³: 7.587
D(E_F), states/eV/cell: 5.69



x:
The following is a PBE calculation of CeScAlHg after structural relaxation, from Alexandria.

POSCAR file:
```
CeScAlHg
1.0
-1.2298 3.1738 3.8413
0.1273 -1.6718 4.8508
3.6403 1.6864 3.2008
Sc Hg Ce Al
1 1 1 1
Direct
0.0000 0.0000 0.0000
0.2500 0.2500 0.2500
0.5000 0.5000 0.5000
0.7500 0.7500 0.7500
```

Properties
Mass density, g/cm³: 7.168
D(E_F), states/eV/cell: 8.44



Energies relative to the most stable structure are w 0.0; x 6.8, reported in kJ/mol of atoms.